Record 1
Here is NdNbRu2 after structural relaxation from the Alexandria database. Energies are from PBE.

The calculation puts the density of states at the Fermi level at 2.81 states/eV/f.u. The value obtained for the formation energy is -0.18 eV per atom. The value obtained for the total moment is 0.000 μB/atom. Its crystal system is tetragonal. The total energy is -34.13 eV for the cell shown.

It has space group P4/mmm (No. 123), with a = 3.231 Å, b = 3.231 Å, c = 7.194 Å, α = 90.00°, β = 90.00° and γ = 90.00°. The inequivalent atoms are Nd at (0.000, 0.000, 0.000), Nb at (0.000, 0.000, 0.500) and Ru at (0.500, 0.500, 0.293).

---

Record 2
Here is Cr3IrPt after structural relaxation from the Alexandria database. Energies are from PBE.

The calculation puts the density of states at the Fermi level at 7.58 states/eV/f.u. The value obtained for the formation energy is 1.45 eV per atom. The value obtained for the total moment is 0.004 μB/atom. For the excess energy over the best structure of this formula in the dataset, the calculation gives 0 meV/atom. Its crystal system is cubic. The total energy is -36.50 eV for the cell shown.

It has space group Pm-3m (No. 221), with a = 4.445 Å, b = 4.445 Å, c = 4.445 Å, α = 90.00°, β = 90.00° and γ = 90.00°. The inequivalent atoms are Cr at (0.000, 0.000, 0.500), Ir at (0.000, 0.000, 0.000) and Pt at (0.500, 0.500, 0.500).

---

Record 3
Here is NaGaI2 after structural relaxation from the Alexandria database. Energies are from PBE.

The calculation puts the density of states at the Fermi level at 0.00 states/eV/f.u. Its energy relative to the elements, uncorrected is -0.768 eV/atom. The value obtained for the total moment is 0.000 μB/atom. For the excess energy over the best structure of this formula in the dataset, the calculation gives 24 meV/atom. Its crystal system is trigonal. The total energy is -31.55 eV for the cell shown.

It has space group R3m (No. 160, hexagonal axes), with a = 4.5605 Å, b = 4.5605 Å, c = 24.1117 Å, α = 90.00°, β = 90.00° and γ = 120.00°. The inequivalent atoms are Na at (0.0000, 0.0000, 0.0000), Ga at (0.0000, 0.0000, 0.1677), I at (0.0000, 0.0000, 0.4127) and I at (0.0000, 0.0000, 0.5882).

---

Record 4
Here is HoInHg after structural relaxation from the Alexandria database. Energies are from PBE.

The calculation puts the density of states at the Fermi level at 1.91 states/eV/f.u. The value obtained for the formation energy is -0.31 eV per atom. The value obtained for the total moment is 0.080 μB/atom. Its crystal system is tetragonal. The total energy is -17.11 eV for the cell shown.

It has space group I4mm (No. 107), with a = 3.600 Å, b = 3.600 Å, c = 11.705 Å, α = 90.00°, β = 90.00° and γ = 90.00°. The inequivalent atoms are Ho at (0.000, 0.000, 0.000), In at (0.000, 0.000, 0.679) and Hg at (0.000, 0.000, 0.339).

---

Record 5
Here is YThHgAu after structural relaxation from the Alexandria database. Energies are from PBE.

The calculation puts the density of states at the Fermi level at 3.92 states/eV/f.u. The value obtained for the formation energy is -0.49 eV per atom. The value obtained for the total moment is 0.165 μB/atom. For the excess energy over the best structure of this formula in the dataset, the calculation gives 44 meV/atom. Its crystal system is cubic. The total energy is -77.63 eV for the cell shown.

It has space group F-43m (No. 216), with a = 7.461 Å, b = 7.461 Å, c = 7.461 Å, α = 90.00°, β = 90.00° and γ = 90.00°. The inequivalent atoms are Y at (0.000, 0.000, 0.000), Th at (0.000, 0.000, 0.500), Hg at (0.250, 0.250, 0.750) and Au at (0.250, 0.250, 0.250).

---

Record 6
Here is K2LaAu after structural relaxation from the Alexandria database. Energies are from PBE.

The calculation puts the density of states at the Fermi level at 3.33 states/eV/f.u. The value obtained for the formation energy is 0.13 eV per atom. The value obtained for the total moment is 0.080 μB/atom. For the excess energy over the best structure of this formula in the dataset, the calculation gives 343 meV/atom. Its crystal system is monoclinic. The total energy is -19.79 eV for the cell shown.

It has space group C2/m (No. 12), with a = 6.409 Å, b = 13.871 Å, c = 4.592 Å, α = 90.00°, β = 133.95° and γ = 90.00°. The inequivalent atoms are K at (0.250, 0.250, 0.000), La at (0.000, 0.000, 0.500) and Au at (0.000, 0.500, 0.500).

---

Record 7
Here is MnZnAs2 after structural relaxation from the Alexandria database. Energies are from PBE.

The calculation puts the density of states at the Fermi level at 1.98 states/eV/f.u. The value obtained for the formation energy is 0.16 eV per atom. The value obtained for the total moment is 0.913 μB/atom. Its crystal system is tetragonal. The total energy is -38.21 eV for the cell shown.

It has space group I-4m2 (No. 119), with a = 3.767 Å, b = 3.767 Å, c = 9.602 Å, α = 90.00°, β = 90.00° and γ = 90.00°. The inequivalent atoms are Mn at (0.000, 0.000, 0.000), Zn at (0.000, 0.500, 0.750), As at (0.000, 0.000, 0.500) and As at (0.000, 0.500, 0.250).

---

Record 8
Here is MnHRh3 after structural relaxation from the Alexandria database. Energies are from PBE.

The calculation puts the density of states at the Fermi level at 8.73 states/eV/f.u. The value obtained for the total moment is 0.000 μB/atom. For the excess energy over the best structure of this formula in the dataset, the calculation gives 164 meV/atom. Its crystal system is cubic. The total energy is -34.13 eV for the cell shown.

It has space group Pm-3m (No. 221), with a = 3.834 Å, b = 3.834 Å, c = 3.834 Å, α = 90.00°, β = 90.00° and γ = 90.00°. The inequivalent atoms are Mn at (0.000, 0.000, 0.000), H at (0.500, 0.500, 0.500) and Rh at (0.000, 0.500, 0.500).

---

Record 9
Here is Dy3Ho after structural relaxation from the Alexandria database. Energies are from PBE.

The calculation puts the density of states at the Fermi level at 6.85 states/eV/f.u. The value obtained for the formation energy is 0.01 eV per atom. The value obtained for the total moment is 0.000 μB/atom. For the excess energy over the best structure of this formula in the dataset, the calculation gives 1 meV/atom. Its crystal system is orthorhombic. The total energy is -36.71 eV for the cell shown.

It has space group Imm2 (No. 44), with a = 3.609 Å, b = 11.234 Å, c = 6.239 Å, α = 90.00°, β = 90.00° and γ = 90.00°. The inequivalent atoms are Dy at (0.000, 0.000, 0.000), Dy at (0.000, 0.250, 0.667) and Ho at (0.000, 0.500, 0.999).

---

Record 10
Here is Tm2HgTe after structural relaxation from the Alexandria database. Energies are from PBE.

The calculation puts the density of states at the Fermi level at 2.79 states/eV/f.u. Its energy relative to the elements, uncorrected is -0.766 eV/atom. The value obtained for the total moment is 0.000 μB/atom. For the excess energy over the best structure of this formula in the dataset, the calculation gives 42 meV/atom. Its crystal system is trigonal. The total energy is -46.35 eV for the cell shown.

It has space group R3m (No. 160, hexagonal axes), with a = 3.9955 Å, b = 3.9955 Å, c = 24.3010 Å, α = 90.00°, β = 90.00° and γ = 120.00°. The inequivalent atoms are Tm at (0.0000, 0.0000, 0.0000), Tm at (0.0000, 0.0000, 0.1705), Hg at (0.0000, 0.0000, 0.5845) and Te at (0.0000, 0.0000, 0.7529).

---

Record 11
Here is Cr2PdW after structural relaxation from the Alexandria database. Energies are from PBE.

The calculation puts the density of states at the Fermi level at 3.59 states/eV/f.u. The value obtained for the formation energy is 0.24 eV per atom. The value obtained for the total moment is 0.997 μB/atom. For the excess energy over the best structure of this formula in the dataset, the calculation gives 0 meV/atom. Its crystal system is cubic. The total energy is -145.71 eV for the cell shown.

It has space group Fm-3m (No. 225), with a = 6.105 Å, b = 6.105 Å, c = 6.105 Å, α = 90.00°, β = 90.00° and γ = 90.00°. The inequivalent atoms are Cr at (0.250, 0.250, 0.250), Pd at (0.000, 0.000, 0.000) and W at (0.000, 0.000, 0.500).

---

Record 12
Here is LaGa2FeGe after structural relaxation from the Alexandria database. Energies are from PBE.

The calculation puts the density of states at the Fermi level at 3.23 states/eV/f.u. The value obtained for the formation energy is -0.38 eV per atom. The value obtained for the total moment is 0.265 μB/atom. Its crystal system is tetragonal. The total energy is -25.97 eV for the cell shown.

It has space group P4/mmm (No. 123), with a = 4.634 Å, b = 4.634 Å, c = 4.620 Å, α = 90.00°, β = 90.00° and γ = 90.00°. The inequivalent atoms are La at (0.000, 0.000, 0.000), Ga at (0.000, 0.500, 0.500), Fe at (0.500, 0.500, 0.500) and Ge at (0.500, 0.500, 0.000).